(1)
Below is a geometry-optimized Ti2Ga3Mo structure, with properties calculated at the PBE level.

Unit cell a=4.803 b=14.321 c=2.746 alpha=90.00 beta=90.00 gamma=90.00
Sites, in units of the cell vectors:
Ti 0.000 0.169 0.000
Ti 0.000 0.831 0.000
Ti 0.500 0.331 0.000
Ti 0.500 0.669 0.000
Ga 0.000 0.000 0.500
Ga 0.000 0.337 0.500
Ga 0.000 0.663 0.500
Ga 0.500 0.163 0.500
Ga 0.500 0.500 0.500
Ga 0.500 0.837 0.500
Mo 0.000 0.500 0.000
Mo 0.500 0.000 0.000

The energy above the most stable polymorph in this dataset comes out at 178 meV/atom. The total moment is 0.00 Bohr magnetons per cell. The final energy comes out at -6.1389 eV/atom. As for the energy of formation: -0.189 eV/atom.


(2)
Below is a geometry-optimized Cr5Pb structure, with properties calculated at the PBE level.

Unit cell a=4.356 b=12.916 c=3.090 alpha=90.00 beta=90.00 gamma=90.00
Sites, in units of the cell vectors:
Cr 0.000 0.000 0.000
Cr 0.000 0.170 0.500
Cr 0.000 0.319 0.000
Cr 0.000 0.681 0.000
Cr 0.000 0.830 0.500
Cr 0.500 0.181 0.000
Cr 0.500 0.330 0.500
Cr 0.500 0.500 0.000
Cr 0.500 0.670 0.500
Cr 0.500 0.819 0.000
Pb 0.000 0.500 0.500
Pb 0.500 0.000 0.500

The energy above the most stable polymorph in this dataset comes out at 100 meV/atom. The total moment is 3.93 Bohr magnetons per cell. The final energy comes out at -8.1866 eV/atom. As for the energy of formation: 0.451 eV/atom.


(3)
Below is a geometry-optimized Co2AgTe structure, with properties calculated at the PBE level.

Unit cell a=3.183 b=3.183 c=22.357 alpha=90.00 beta=90.00 gamma=120.00
Sites, in units of the cell vectors:
Co 0.000 0.000 0.244
Co 0.000 0.000 0.756
Co 0.333 0.667 0.422
Co 0.333 0.667 0.911
Co 0.667 0.333 0.089
Co 0.667 0.333 0.578
Ag 0.000 0.000 0.000
Ag 0.333 0.667 0.667
Ag 0.667 0.333 0.333
Te 0.000 0.000 0.500
Te 0.333 0.667 0.167
Te 0.667 0.333 0.833

The formation energy without anion corrections is 0.5397 eV/atom. The total moment is 3.89 Bohr magnetons per cell. The final energy comes out at -4.5115 eV/atom.


(4)
Below is a geometry-optimized Cr8W structure, with properties calculated at the PBE level.

Unit cell a=6.307 b=6.307 c=6.307 alpha=93.03 beta=93.03 gamma=153.40
Sites, in units of the cell vectors:
Cr 0.000 0.337 0.337
Cr 0.000 0.663 0.663
Cr 0.328 0.328 0.657
Cr 0.328 0.672 0.000
Cr 0.337 0.000 0.337
Cr 0.663 0.000 0.663
Cr 0.672 0.328 0.000
Cr 0.672 0.672 0.343
W 0.000 0.000 0.000

The total moment is 0.00 Bohr magnetons per cell. The final energy comes out at -9.9632 eV/atom. As for the energy of formation: 0.030 eV/atom.


(5)
Below is a geometry-optimized AlPdPt6 structure, with properties calculated at the PBE level.

Unit cell a=7.267 b=7.267 c=7.267 alpha=42.59 beta=42.59 gamma=42.59
Sites, in units of the cell vectors:
Al 0.000 0.000 0.000
Pd 0.500 0.500 0.500
Pt 0.071 0.071 0.564
Pt 0.071 0.564 0.071
Pt 0.436 0.929 0.929
Pt 0.564 0.071 0.071
Pt 0.929 0.436 0.929
Pt 0.929 0.929 0.436

The energy above the most stable polymorph in this dataset comes out at 530 meV/atom. The total moment is 0.00 Bohr magnetons per cell. The final energy comes out at -5.4766 eV/atom. As for the energy of formation: 0.171 eV/atom.


(6)
Below is a geometry-optimized ErPuZn2 structure, with properties calculated at the PBE level.

Unit cell a=5.046 b=5.046 c=3.524 alpha=90.00 beta=90.00 gamma=90.00
Sites, in units of the cell vectors:
Er 0.000 0.000 0.000
Pu 0.500 0.500 0.000
Zn 0.000 0.500 0.500
Zn 0.500 0.000 0.500

The energy above the most stable polymorph in this dataset comes out at 0 meV/atom. The total moment is 6.08 Bohr magnetons per cell. The final energy comes out at -5.5494 eV/atom. As for the energy of formation: -0.189 eV/atom.


(7)
Below is a geometry-optimized GaAs2PdSe structure, with properties calculated at the PBE level.

Unit cell a=4.846 b=4.846 c=4.914 alpha=90.00 beta=90.00 gamma=90.00
Sites, in units of the cell vectors:
Ga 0.000 0.000 0.000
As 0.000 0.500 0.000
As 0.500 0.000 0.000
Pd 0.500 0.500 0.500
Se 0.000 0.000 0.500

The formation energy without anion corrections is 0.7539 eV/atom. The energy above the most stable polymorph in this dataset comes out at 311 meV/atom. The total moment is 0.00 Bohr magnetons per cell. The final energy comes out at -3.4468 eV/atom.


(8)
Below is a geometry-optimized DyTm3Th4 structure, with properties calculated at the PBE level.

Unit cell a=11.596 b=7.082 c=6.184 alpha=90.00 beta=90.00 gamma=90.00
Sites, in units of the cell vectors:
Dy 0.000 0.128 0.000
Dy 0.500 0.872 0.500
Tm 0.000 0.874 0.501
Tm 0.250 0.127 0.343
Tm 0.250 0.873 0.843
Tm 0.500 0.126 0.001
Tm 0.750 0.127 0.343
Tm 0.750 0.873 0.843
Th 0.000 0.382 0.507
Th 0.000 0.622 0.007
Th 0.249 0.620 0.335
Th 0.251 0.380 0.835
Th 0.500 0.378 0.507
Th 0.500 0.618 0.007
Th 0.749 0.380 0.835
Th 0.751 0.620 0.335

The energy above the most stable polymorph in this dataset comes out at 0 meV/atom. The total moment is 0.00 Bohr magnetons per cell. The final energy comes out at -5.9126 eV/atom. As for the energy of formation: 0.049 eV/atom.


(9)
Below is a geometry-optimized AgS2I structure, with properties calculated at the PBE level.

Unit cell a=3.965 b=3.965 c=22.948 alpha=90.00 beta=90.00 gamma=120.00
Sites, in units of the cell vectors:
Ag 0.000 0.000 0.000
Ag 0.333 0.667 0.667
Ag 0.667 0.333 0.333
S 0.000 0.000 0.387
S 0.000 0.000 0.613
S 0.333 0.667 0.054
S 0.333 0.667 0.279
S 0.667 0.333 0.721
S 0.667 0.333 0.946
I 0.000 0.000 0.500
I 0.333 0.667 0.167
I 0.667 0.333 0.833

The formation energy without anion corrections is 0.2103 eV/atom. The energy above the most stable polymorph in this dataset comes out at 0 meV/atom. The total moment is 0.00 Bohr magnetons per cell. The final energy comes out at -2.9538 eV/atom.


(10)
Below is a geometry-optimized ZrMn2Tc structure, with properties calculated at the PBE level.

Unit cell a=3.103 b=4.403 c=8.786 alpha=90.00 beta=90.00 gamma=90.00
Sites, in units of the cell vectors:
Zr 0.000 0.000 0.000
Zr 0.500 0.500 0.500
Mn 0.000 0.000 0.509
Mn 0.000 0.500 0.771
Mn 0.500 0.000 0.271
Mn 0.500 0.500 0.009
Tc 0.000 0.500 0.235
Tc 0.500 0.000 0.735

The energy above the most stable polymorph in this dataset comes out at 39 meV/atom. The total moment is 4.98 Bohr magnetons per cell. The final energy comes out at -9.2481 eV/atom. As for the energy of formation: 0.065 eV/atom.


(11)
Below is a geometry-optimized SrAlAgRh2 structure, with properties calculated at the PBE level.

Unit cell a=5.062 b=5.062 c=4.607 alpha=90.00 beta=90.00 gamma=90.00
Sites, in units of the cell vectors:
Sr 0.000 0.000 0.000
Al 0.500 0.500 0.000
Ag 0.500 0.500 0.500
Rh 0.000 0.500 0.500
Rh 0.500 0.000 0.500

The total moment is 0.00 Bohr magnetons per cell. The final energy comes out at -4.0634 eV/atom. As for the energy of formation: 0.532 eV/atom.


(12)
Below is a geometry-optimized La2PmF8 structure, with properties calculated at the PBE level.

Unit cell a=7.725 b=7.725 c=5.806 alpha=110.12 beta=110.12 gamma=29.93
Sites, in units of the cell vectors:
La 0.173 0.173 0.175
La 0.827 0.827 0.825
Pm 0.500 0.500 0.500
F 0.032 0.032 0.296
F 0.221 0.221 0.819
F 0.334 0.334 0.539
F 0.409 0.409 0.067
F 0.591 0.591 0.933
F 0.666 0.666 0.461
F 0.779 0.779 0.181
F 0.968 0.968 0.704

The formation energy without anion corrections is -3.9159 eV/atom. The total moment is 1.12 Bohr magnetons per cell. The final energy comes out at -6.6046 eV/atom.


(13)
Below is a geometry-optimized PmFe2Si2B structure, with properties calculated at the PBE level.

Unit cell a=3.913 b=3.913 c=5.305 alpha=90.00 beta=90.00 gamma=90.00
Sites, in units of the cell vectors:
Pm 0.000 0.000 0.000
Fe 0.000 0.500 0.500
Fe 0.500 0.000 0.500
Si 0.500 0.500 0.235
Si 0.500 0.500 0.765
B 0.000 0.000 0.500

The formation energy without anion corrections is -0.5555 eV/atom. The total moment is 0.00 Bohr magnetons per cell. The final energy comes out at -7.0887 eV/atom.


(14)
Below is a geometry-optimized Cr2TcHRh structure, with properties calculated at the PBE level.

Unit cell a=3.828 b=3.828 c=3.708 alpha=90.00 beta=90.00 gamma=90.00
Sites, in units of the cell vectors:
Cr 0.000 0.500 0.000
Cr 0.500 0.000 0.000
Tc 0.000 0.000 0.500
H 0.500 0.500 0.000
Rh 0.500 0.500 0.500

The energy above the most stable polymorph in this dataset comes out at 5 meV/atom. The total moment is 0.24 Bohr magnetons per cell. The final energy comes out at -8.0226 eV/atom.


(15)
Below is a geometry-optimized Nd3GaAs2Rh8 structure, with properties calculated at the PBE level.

Unit cell a=5.483 b=5.483 c=9.706 alpha=90.00 beta=90.00 gamma=120.00
Sites, in units of the cell vectors:
Nd 0.000 0.000 0.000
Nd 0.333 0.667 0.562
Nd 0.667 0.333 0.438
Ga 0.000 0.000 0.500
As 0.333 0.667 0.094
As 0.667 0.333 0.906
Rh 0.163 0.325 0.280
Rh 0.163 0.837 0.280
Rh 0.325 0.163 0.720
Rh 0.333 0.667 0.849
Rh 0.667 0.333 0.151
Rh 0.675 0.837 0.280
Rh 0.837 0.163 0.720
Rh 0.837 0.675 0.720

The total moment is 0.00 Bohr magnetons per cell. The final energy comes out at -6.6993 eV/atom. As for the energy of formation: -0.596 eV/atom.


(16)
Below is a geometry-optimized Na2Ce3I8 structure, with properties calculated at the PBE level.

Unit cell a=9.097 b=9.097 c=7.606 alpha=91.61 beta=91.61 gamma=58.29
Sites, in units of the cell vectors:
Na 0.235 0.235 0.048
Na 0.765 0.765 0.952
Ce 0.284 0.716 0.500
Ce 0.500 0.500 0.000
Ce 0.716 0.284 0.500
I 0.109 0.109 0.352
I 0.127 0.622 0.159
I 0.362 0.362 0.672
I 0.378 0.873 0.841
I 0.622 0.127 0.159
I 0.638 0.638 0.328
I 0.873 0.378 0.841
I 0.891 0.891 0.648

The formation energy without anion corrections is -1.1815 eV/atom. The total moment is 2.67 Bohr magnetons per cell. The final energy comes out at -3.7077 eV/atom.


(17)
Below is a geometry-optimized TlCd3Pd6 structure, with properties calculated at the PBE level.

Unit cell a=7.260 b=7.260 c=6.818 alpha=116.24 beta=116.24 gamma=44.94
Sites, in units of the cell vectors:
Tl 0.000 0.000 0.000
Cd 0.233 0.233 0.794
Cd 0.500 0.500 0.500
Cd 0.767 0.767 0.206
Pd 0.117 0.614 0.624
Pd 0.259 0.259 0.213
Pd 0.386 0.883 0.376
Pd 0.614 0.117 0.624
Pd 0.741 0.741 0.787
Pd 0.883 0.386 0.376

The energy above the most stable polymorph in this dataset comes out at 254 meV/atom. The total moment is 0.00 Bohr magnetons per cell. The final energy comes out at -3.6795 eV/atom. As for the energy of formation: -0.053 eV/atom.


(18)
Below is a geometry-optimized HoPd3Au3 structure, with properties calculated at the PBE level.

Unit cell a=7.748 b=7.748 c=4.817 alpha=90.00 beta=90.00 gamma=120.00
Sites, in units of the cell vectors:
Ho 0.333 0.667 0.250
Ho 0.667 0.333 0.750
Pd 0.041 0.236 0.250
Pd 0.194 0.959 0.250
Pd 0.236 0.194 0.750
Pd 0.764 0.806 0.250
Pd 0.806 0.041 0.750
Pd 0.959 0.764 0.750
Au 0.090 0.459 0.750
Au 0.369 0.910 0.750
Au 0.459 0.369 0.250
Au 0.541 0.631 0.750
Au 0.631 0.090 0.250
Au 0.910 0.541 0.250

The energy above the most stable polymorph in this dataset comes out at 0 meV/atom. The total moment is 0.00 Bohr magnetons per cell. The final energy comes out at -4.7742 eV/atom. As for the energy of formation: -0.490 eV/atom.


(19)
Below is a geometry-optimized TbCuBi2 structure, with properties calculated at the PBE level.

Unit cell a=4.455 b=4.455 c=19.164 alpha=90.00 beta=90.00 gamma=120.00
Sites, in units of the cell vectors:
Tb 0.000 0.000 0.000
Tb 0.333 0.667 0.667
Tb 0.667 0.333 0.333
Cu 0.000 0.000 0.500
Cu 0.333 0.667 0.167
Cu 0.667 0.333 0.833
Bi 0.000 0.000 0.236
Bi 0.000 0.000 0.764
Bi 0.333 0.667 0.431
Bi 0.333 0.667 0.902
Bi 0.667 0.333 0.098
Bi 0.667 0.333 0.569

The total moment is 0.00 Bohr magnetons per cell. The final energy comes out at -4.1843 eV/atom. As for the energy of formation: -0.062 eV/atom.


(20)
Below is a geometry-optimized Ba4ZnRe structure, with properties calculated at the PBE level.

Unit cell a=7.005 b=7.005 c=7.005 alpha=60.00 beta=60.00 gamma=60.00
Sites, in units of the cell vectors:
Ba 0.124 0.124 0.124
Ba 0.124 0.124 0.627
Ba 0.124 0.627 0.124
Ba 0.627 0.124 0.124
Zn 0.500 0.500 0.500
Re 0.750 0.750 0.750

The total moment is 1.97 Bohr magnetons per cell. The final energy comes out at -2.2518 eV/atom. As for the energy of formation: 1.317 eV/atom.